Below is a geometry-optimized CaAcTeO6 structure, with properties calculated at the GGA-PBE level.

a b c (Å): 5.158 5.712 5.712
angles (deg): 120.00 90.00 90.00
Element x y z (fractional)
O (0.713, 0.717, 0.718)
O (0.287, 0.001, 0.718)
O (0.713, 0.001, 0.283)
O (0.713, 0.282, 0.999)
O (0.287, 0.717, 0.999)
O (0.287, 0.282, 0.283)
Ac (0.000, 0.333, 0.667)
Te (0.500, 0.000, 0.000)
Ca (0.500, 0.667, 0.333)

Values from the calculation:
VASP energy	-57.76	eV/f.u.
Fermi-level density of states	0.79	states/eV/atom


Below is a geometry-optimized CaAcTe2O8 structure, with properties calculated at the GGA-PBE level.

a b c (Å): 6.499 6.499 6.499
angles (deg): 106.97 106.97 114.59
Element x y z (fractional)
Te (0.500, 0.500, 0.000)
Te (0.750, 0.250, 0.500)
Ca (0.250, 0.750, 0.500)
O (0.748, 0.068, 0.680)
O (0.861, 0.677, 0.184)
O (0.387, 0.068, 0.320)
O (0.932, 0.613, 0.680)
O (0.932, 0.252, 0.320)
O (0.492, 0.677, 0.816)
O (0.323, 0.139, 0.816)
O (0.323, 0.508, 0.184)
Ac (0.000, 0.000, 0.000)

Values from the calculation:
VASP energy	-73.65	eV/f.u.
Fermi-level density of states	0.21	states/eV/atom


Below is a geometry-optimized CaAcTeO5 structure, with properties calculated at the GGA-PBE level.

a b c (Å): 6.654 6.654 8.588
angles (deg): 109.29 109.29 94.47
Element x y z (fractional)
Ac (0.000, 0.000, 0.000)
Ac (0.000, 0.000, 0.500)
Ca (0.680, 0.320, 0.750)
Ca (0.320, 0.680, 0.250)
O (0.254, 0.718, 0.957)
O (0.746, 0.282, 0.043)
O (0.282, 0.746, 0.543)
O (0.345, 0.308, 0.153)
O (0.692, 0.655, 0.347)
O (0.655, 0.692, 0.847)
O (0.308, 0.345, 0.653)
O (0.718, 0.254, 0.457)
O (0.096, 0.904, 0.250)
O (0.904, 0.096, 0.750)
Te (0.346, 0.654, 0.750)
Te (0.654, 0.346, 0.250)

Values from the calculation:
VASP energy	-51.03	eV/f.u.
Fermi-level density of states	0.21	states/eV/atom


Below is a geometry-optimized CaAc2TeO8 structure, with properties calculated at the GGA-PBE level.

a b c (Å): 5.721 5.721 6.639
angles (deg): 90.00 90.00 120.00
Element x y z (fractional)
Ac (0.667, 0.333, 0.153)
Ac (0.333, 0.667, 0.847)
Te (0.000, 0.000, 0.000)
Ca (0.000, 0.000, 0.500)
O (0.159, 0.318, 0.171)
O (0.333, 0.667, 0.523)
O (0.318, 0.159, 0.829)
O (0.667, 0.333, 0.477)
O (0.682, 0.841, 0.171)
O (0.841, 0.682, 0.829)
O (0.841, 0.159, 0.829)
O (0.159, 0.841, 0.171)

Values from the calculation:
VASP energy	-76.51	eV/f.u.
Fermi-level density of states	0.03	states/eV/atom


Below is a geometry-optimized CaAcTiO4 structure, with properties calculated at the GGA-PBE level.

a b c (Å): 3.943 3.943 6.920
angles (deg): 106.55 106.55 90.00
Element x y z (fractional)
Ti (0.993, 0.993, 0.985)
O (0.174, 0.174, 0.347)
O (0.498, 0.998, 0.996)
O (0.833, 0.833, 0.665)
O (0.998, 0.498, 0.996)
Ac (0.645, 0.645, 0.291)
Ca (0.359, 0.359, 0.719)

Values from the calculation:
VASP energy	-55.15	eV/f.u.
Fermi-level density of states	0.38	states/eV/atom


Below is a geometry-optimized CaAc2TiO6 structure, with properties calculated at the GGA-PBE level.

a b c (Å): 4.963 5.671 5.671
angles (deg): 90.00 90.00 90.00
Element x y z (fractional)
O (0.718, 0.230, 0.770)
O (0.718, 0.770, 0.770)
O (0.135, 0.500, 0.500)
O (0.718, 0.230, 0.230)
O (0.718, 0.770, 0.230)
O (0.228, 0.000, 0.000)
Ac (0.017, 0.000, 0.500)
Ac (0.017, 0.500, 0.000)
Ti (0.596, 0.000, 0.000)
Ca (0.584, 0.500, 0.500)

Values from the calculation:
VASP energy	-79.79	eV/f.u.
Fermi-level density of states	0.00	states/eV/atom